Compound: Cd2Os
Source: Alexandria via LeMat-Bulk
Functional: PBE-GGA
Structure: optimized geometry Values from VASP.

Properties
VASP energy, eV/atom: -3.746
Formation enthalpy at 0 K, meV/atom: 608

```
&SYSTEM
  ibrav = 0, nat = 6, ntyp = 2
/
ATOMIC_SPECIES
Cd 112.41 Cd.upf
Os 190.23 Os.upf
CELL_PARAMETERS angstrom
0.902 -12.418 5.991
1.745 -10.126 9.237
-3.301 11.350 -7.155
ATOMIC_POSITIONS angstrom
Cd 1.122 -9.554 6.453
Cd 0.086 -6.743 6.009
Cd -0.318 -3.306 3.687
Cd 1.526 -12.990 8.775
Os 0.000 0.000 0.000
Os -0.537 -6.170 3.225
```